(1)
Pm2CdAuO6 | GGA-PBE | relaxed

The structure belongs to space group P4mm (No. 99); the cell edges are 5.528, 5.528 and 5.146 Å and the angles 90.00°, 90.00° and 90.00°. Symmetry generates all atoms from Pm at (0.000, 0.500, 0.000), Cd at (0.000, 0.000, 0.523), Au at (0.500, 0.500, 0.669), O at (0.000, 0.000, 0.117), O at (0.248, 0.248, 0.737) and O at (0.500, 0.500, 0.169).

As for the electronic total energy: -59.822 eV/cell. As for the size of the total moment: 0.033 Bohr magnetons per cell. The energy relative to the elements, uncorrected is -1.638 eV per atom. The density comes out at 7341 kg/m³.

***

(2)
KPaTl2F8 | GGA-PBE | relaxed

The structure belongs to space group I-4m2 (No. 119); the cell edges are 6.242, 6.242 and 12.030 Å and the angles 90.00°, 90.00° and 90.00°. Symmetry generates all atoms from K at (0.000, 0.000, 0.000), Pa at (0.000, 0.500, 0.250), Tl at (0.000, 0.000, 0.500), Tl at (0.000, 0.500, 0.750) and F at (0.204, 0.291, 0.142).

As for the electronic total energy: -133.978 eV/cell. As for the size of the total moment: 0.000 Bohr magnetons per cell. The energy relative to the elements, uncorrected is -3.058 eV per atom. The density comes out at 5887 kg/m³.

***

The lowest size of the total moment belongs to which entry? KPaTl2F8